(1)
Material: CoHgW
Method: DFT, GGA-PBE
State: optimized geometry

```
data_CoHgW
_cell_length_a 2.8566
_cell_length_b 2.8566
_cell_length_c 6.8480
_cell_angle_alpha 90.00
_cell_angle_beta 90.00
_cell_angle_gamma 120.00
_symmetry_space_group_name_H-M 'P 3 m 1'
_symmetry_Int_Tables_number 156
loop_
_symmetry_equiv_pos_as_xyz
'x,y,z'
'-y,x-y,z'
'-x+y,-x,z'
'-y,-x,z'
'-x+y,y,z'
'x,x-y,z'
loop_
_atom_site_label
_atom_site_type_symbol
_atom_site_fract_x
_atom_site_fract_y
_atom_site_fract_z
Co1 Co 0.0000 0.0000 0.0000
Hg1 Hg 0.6667 0.3333 0.6624
W1 W 0.3333 0.6667 0.2797
```

For the formation energy, the calculation gives 525 meV/atom. The density of states at the Fermi level comes out at 2.6 states/eV per cell. The distance to the lowest polymorph of the same formula comes out at 272 meV/atom.


(2)
Material: CoHgW2
Method: DFT, GGA-PBE
State: optimized geometry

```
data_CoHgW2
_cell_length_a 9.285
_cell_length_b 2.775
_cell_length_c 5.036
_cell_angle_alpha 90.00
_cell_angle_beta 100.42
_cell_angle_gamma 90.00
_symmetry_space_group_name_H-M 'C 1 m 1'
_symmetry_Int_Tables_number 8
loop_
_symmetry_equiv_pos_as_xyz
'x,y,z'
'x,-y,z'
'x+1/2,y+1/2,z'
'x+1/2,-y+1/2,z'
loop_
_atom_site_label
_atom_site_type_symbol
_atom_site_fract_x
_atom_site_fract_y
_atom_site_fract_z
Co1 Co 0.000 0.000 0.000
Hg1 Hg 0.243 0.000 0.732
W1 W 0.223 0.500 0.214
W2 W 0.479 0.000 0.442
```

For the formation energy, the calculation gives 610 meV/atom. The density of states at the Fermi level comes out at 6.3 states/eV per cell.


(3)
Material: CoHgW2
Method: DFT, GGA-PBE
State: optimized geometry

```
data_CoHgW2
_cell_length_a 2.793
_cell_length_b 2.793
_cell_length_c 8.037
_cell_angle_alpha 90.00
_cell_angle_beta 90.00
_cell_angle_gamma 90.00
_symmetry_space_group_name_H-M 'P 4/m m m'
_symmetry_Int_Tables_number 123
_symmetry_space_group_name_Hall '-P 4 2'
loop_
_atom_site_label
_atom_site_type_symbol
_atom_site_fract_x
_atom_site_fract_y
_atom_site_fract_z
Co1 Co 0.000 0.000 0.000
Hg1 Hg 0.000 0.000 0.500
W1 W 0.500 0.500 0.213
```

For the formation energy, the calculation gives 476 meV/atom. The density of states at the Fermi level comes out at 2.9 states/eV per cell.


(4)
Material: CoHg2W
Method: DFT, GGA-PBE
State: optimized geometry

```
data_CoHg2W
_cell_length_a 2.801
_cell_length_b 4.545
_cell_length_c 5.582
_cell_angle_alpha 90.00
_cell_angle_beta 103.03
_cell_angle_gamma 90.00
_symmetry_space_group_name_H-M 'P 1 2/m 1'
_symmetry_Int_Tables_number 10
loop_
_symmetry_equiv_pos_as_xyz
'x,y,z'
'-x,-y,-z'
'-x,y,-z'
'x,-y,z'
loop_
_atom_site_label
_atom_site_type_symbol
_atom_site_fract_x
_atom_site_fract_y
_atom_site_fract_z
Co1 Co 0.000 0.000 0.000
Hg1 Hg 0.161 0.500 0.757
W1 W 0.500 0.000 0.500
```

For the formation energy, the calculation gives 840 meV/atom. The density of states at the Fermi level comes out at 4.7 states/eV per cell. The distance to the lowest polymorph of the same formula comes out at 436 meV/atom.


Question: Which of these has the lowest density of states at the Fermi level?
Answer: CoHgW


Question: Which value of density of states at the Fermi level does entry 2 give?
Answer: 6.3 states/eV per cell


Question: Which of these has the lowest density of states at the Fermi level?
Answer: CoHgW


Question: Which of these has the highest density of states at the Fermi level?
Answer: number 2